Material: Lu2HfIn
Method: DFT, PBE
State: relaxed

Geometry as POSCAR:
```
Lu2HfIn
1.0
-1.4447 -2.3432 1.9855
2.2909 0.6393 2.4213
-5.3053 6.1487 3.3962
Lu Hf In
2 1 1
direct
0.0000 0.0000 0.7519 Lu
0.0000 0.0000 0.2481 Lu
0.5000 0.5000 0.5000 Hf
0.5000 0.5000 0.0000 In
```

Output
The value obtained for the formation energy is -0.1855 eV/atom. The value obtained for the energy above the most stable polymorph in this dataset is 0 meV per atom. As for the total moment: 0.0 μB per formula unit. The calculation puts the density of states at the Fermi level at 3.0 states/eV per cell.



Material: HfMnGeSe2
Method: DFT, PBE
State: relaxed

Geometry as POSCAR:
```
HfMnGeSe2
1.0
-4.2425 -0.2256 1.3942
-0.7276 -4.1285 -2.8821
1.2592 -2.6029 3.4107
Ge Mn Hf Se
1 1 1 2
direct
0.5000 0.5000 0.5000 Ge
0.0000 0.0000 0.0000 Mn
0.0000 0.5000 0.0000 Hf
0.0000 0.0000 0.5000 Se
0.5000 0.0000 0.0000 Se
```

Output
As for the raw formation energy: 1.40 eV/f.u. As for the total moment: 0.5 μB per formula unit. The calculation puts the density of states at the Fermi level at 3.0 states/eV per cell.



Material: AcPuPt4
Method: DFT, PBE
State: relaxed

Geometry as POSCAR:
```
AcPuPt4
1.0
5.5657 0.0000 0.0000
2.7828 4.8200 0.0000
2.7828 1.6067 4.5444
Ac Pt Pu
1 4 1
direct
0.2500 0.2500 0.2500 Ac
0.6257 0.6257 0.1230 Pt
0.6257 0.1230 0.6257 Pt
0.6257 0.6257 0.6257 Pt
0.1230 0.6257 0.6257 Pt
0.0000 0.0000 0.0000 Pu
```

Output
The value obtained for the formation energy is -0.9046 eV/atom. As for the total moment: 5.6 μB per formula unit. The calculation puts the density of states at the Fermi level at 16.7 states/eV per cell.



Material: FeCoAs2
Method: DFT, PBE
State: relaxed

Geometry as POSCAR:
```
FeCoAs2
1.0
4.5136 0.0000 0.0000
0.0000 3.1008 0.0322
0.0000 1.5161 4.1469
As Co Fe
2 1 1
direct
0.0000 0.7165 0.9400 As
0.5000 0.5343 0.3083 As
0.0000 0.4201 0.5353 Co
0.5000 0.8291 0.7164 Fe
```

Output
The value obtained for the formation energy is -0.0517 eV/atom. The value obtained for the energy above the most stable polymorph in this dataset is 17 meV per atom. As for the total moment: 0.5 μB per formula unit. The calculation puts the density of states at the Fermi level at 2.8 states/eV per cell.



Material: CeOsC
Method: DFT, PBE
State: relaxed

Geometry as POSCAR:
```
CeOsC
1.0
-1.7808 -2.8342 -0.6499
2.6950 0.8002 -1.9295
2.9445 -2.5506 3.0550
C Os Ce
1 1 1
direct
0.6667 0.3333 0.4162 C
0.3333 0.6667 0.5216 Os
0.0000 0.0000 0.0622 Ce
```

Output
The value obtained for the formation energy is 0.0588 eV/atom. The value obtained for the energy above the most stable polymorph in this dataset is 155 meV per atom. As for the total moment: 0.0 μB per formula unit. The calculation puts the density of states at the Fermi level at 3.2 states/eV per cell.



Material: ZrMn3Al
Method: DFT, PBE
State: relaxed

Geometry as POSCAR:
```
ZrMn3Al
1.0
-2.3562 1.9475 3.1481
-2.0491 -3.7939 0.8134
3.0829 -1.0334 2.9466
Mn Al Zr
3 1 1
direct
0.0000 0.5000 0.0000 Mn
0.0000 0.0000 0.5000 Mn
0.5000 0.0000 0.0000 Mn
0.0000 0.0000 0.0000 Al
0.5000 0.5000 0.5000 Zr
```

Output
The value obtained for the formation energy is 0.7239 eV/atom. The value obtained for the energy above the most stable polymorph in this dataset is 0 meV per atom. As for the total moment: 6.0 μB per formula unit. The calculation puts the density of states at the Fermi level at 2.1 states/eV per cell.



Material: Rb2HfNp2S6
Method: DFT, PBE
State: relaxed

Geometry as POSCAR:
```
Rb2HfNp2S6
1.0
6.8084 0.0025 0.0600
-3.3629 5.9199 0.0600
-1.2238 -2.1035 7.8327
Rb Hf Np S
2 1 2 6
direct
0.8311 0.1689 0.0000 Rb
0.1689 0.8311 0.0000 Rb
0.0000 0.0000 0.5000 Hf
0.3339 0.6661 0.5000 Np
0.6661 0.3339 0.5000 Np
0.7497 0.7497 0.6847 S
0.0622 0.3776 0.6846 S
0.2503 0.2503 0.3153 S
0.3776 0.0622 0.6846 S
0.9378 0.6224 0.3154 S
0.6224 0.9378 0.3154 S
```

Output
As for the raw formation energy: -15.92 eV/f.u. As for the total moment: 8.0 μB per formula unit. The calculation puts the density of states at the Fermi level at 21.8 states/eV per cell.



Material: NpS2Br
Method: DFT, PBE
State: relaxed

Geometry as POSCAR:
```
NpS2Br
1.0
4.2252 0.0000 0.0000
2.1126 3.6591 0.0000
2.1126 1.2197 6.6417
Np S Br
1 2 1
direct
0.0000 0.0000 0.0000 Np
0.2797 0.2797 0.1609 S
0.7203 0.7203 0.8391 S
0.5000 0.5000 0.5000 Br
```

Output
The value obtained for the energy above the most stable polymorph in this dataset is 171 meV per atom. As for the raw formation energy: -2.97 eV/f.u. As for the total moment: 2.0 μB per formula unit. The calculation puts the density of states at the Fermi level at 8.2 states/eV per cell.



Material: NaSrHf2Cu
Method: DFT, PBE
State: relaxed

Geometry as POSCAR:
```
NaSrHf2Cu
1.0
5.4681 0.0000 0.0000
0.0000 5.0878 0.0000
0.0000 0.0000 5.4681
Sr Hf Cu Na
1 2 1 1
direct
0.0000 0.0000 0.0000 Sr
0.0000 0.0000 0.5000 Hf
0.5000 0.0000 0.0000 Hf
0.0000 0.5000 0.0000 Cu
0.5000 0.5000 0.5000 Na
```

Output
The value obtained for the formation energy is 1.8506 eV/atom. As for the total moment: 0.0 μB per formula unit. The calculation puts the density of states at the Fermi level at 5.1 states/eV per cell.



Material: LiPm2Ge
Method: DFT, PBE
State: relaxed

Geometry as POSCAR:
```
LiPm2Ge
1.0
4.8914 0.0000 0.0000
0.0000 8.8519 0.0057
-2.4457 -2.2192 5.2237
Li Pm Ge
2 4 2
direct
0.4962 0.7500 0.0000 Li
0.5038 0.2500 0.0000 Li
0.1875 0.5930 0.3718 Pm
0.8125 0.4070 0.6282 Pm
0.1844 0.0930 0.3718 Pm
0.8156 0.9070 0.6282 Pm
0.0044 0.2500 0.0000 Ge
0.9956 0.7500 0.0000 Ge
```

Output
The value obtained for the formation energy is -0.1600 eV/atom. As for the total moment: 0.0 μB per formula unit. The calculation puts the density of states at the Fermi level at 9.2 states/eV per cell.



Material: BaNiRu2
Method: DFT, PBE
State: relaxed

Geometry as POSCAR:
```
BaNiRu2
1.0
5.8346 0.0239 -0.0036
3.0805 4.9552 0.0036
-3.8248 -3.6225 2.5083
Ba Ni Ru
1 1 2
direct
0.7500 0.2500 0.5000 Ba
0.2500 0.7500 0.5000 Ni
0.0361 0.0361 0.0000 Ru
0.4639 0.4639 0.0000 Ru
```

Output
The value obtained for the formation energy is 0.8031 eV/atom. The value obtained for the energy above the most stable polymorph in this dataset is 557 meV per atom. As for the total moment: 0.0 μB per formula unit. The calculation puts the density of states at the Fermi level at 6.5 states/eV per cell.



Material: Sm4HoTe7
Method: DFT, PBE
State: relaxed

Geometry as POSCAR:
```
Sm4HoTe7
1.0
4.3022 0.0000 0.0000
-2.1511 7.0131 -1.8459
0.0000 0.0815 13.3258
Sm Ho Te
4 1 7
direct
0.7005 0.4011 0.8106 Sm
0.2995 0.5990 0.1897 Sm
0.9997 0.9993 0.9981 Sm
0.1143 0.2285 0.4253 Sm
0.8849 0.7697 0.5760 Ho
0.7440 0.4880 0.3533 Te
0.2622 0.5244 0.6494 Te
0.3379 0.6759 0.9515 Te
0.6613 0.3225 0.0485 Te
0.0360 0.0720 0.7796 Te
0.9628 0.9256 0.2162 Te
0.4969 0.9939 0.5020 Te
```

Output
As for the raw formation energy: -16.90 eV/f.u. As for the total moment: 0.0 μB per formula unit. The calculation puts the density of states at the Fermi level at 2.3 states/eV per cell.



Number 7 is which compound?
Rb2HfNp2S6